! LiCo2Ag (PBE, optimized geometry); values from VASP
! D(E_F) in states/eV/f.u.: 3.5
! Formation energy in eV/atom: 0.222
! Symmetry: Pmmm (47)
! Final energy in eV/atom: -4.5221
&SYSTEM
  ibrav = 0, nat = 4, ntyp = 3
/
ATOMIC_SPECIES
Li 6.94 Li.upf
Co 58.93 Co.upf
Ag 107.87 Ag.upf
ATOMIC_POSITIONS angstrom
Li 0.000 0.000 0.000
Co 0.000 1.987 2.228
Co 1.457 0.000 2.228
Ag 1.457 1.987 0.000
CELL_PARAMETERS angstrom
2.914 0.000 0.000
0.000 3.974 0.000
0.000 0.000 4.456